Below is a relaxed KBeCr3 crystal, with properties calculated at the PBE level.

Results
Energy above the lowest structure with this stoichiometry = 1.7670 eV per atom
E_form = 2.99 eV per atom
DFT total energy = -3.75 eV per atom

The structure in CIF format:
```
data_KBeCr3
_cell_length_a 4.163
_cell_length_b 4.163
_cell_length_c 4.163
_cell_angle_alpha 90.00
_cell_angle_beta 90.00
_cell_angle_gamma 90.00
_space_group_name_H-M_alt 'P m -3 m'
_space_group_IT_number 221
_space_group_name_Hall '-P 4 2 3'
loop_
_atom_site_label
_atom_site_type_symbol
_atom_site_fract_x
_atom_site_fract_y
_atom_site_fract_z
K1 K 0.000 0.000 0.000
Be1 Be 0.500 0.500 0.500
Cr1 Cr 0.000 0.000 0.500
```

Below is a relaxed LaPd2AuO crystal, with properties calculated at the PBE level.

Results
DFT total energy = -4.87 eV per atom
Uncorrected formation energy = -0.156 eV/atom

The structure in CIF format:
```
data_LaPd2AuO
_cell_length_a 5.078
_cell_length_b 5.078
_cell_length_c 4.116
_cell_angle_alpha 90.00
_cell_angle_beta 90.00
_cell_angle_gamma 90.00
_space_group_name_H-M_alt 'P 4/m m m'
_space_group_IT_number 123
_space_group_name_Hall '-P 4 2'
loop_
_atom_site_label
_atom_site_type_symbol
_atom_site_fract_x
_atom_site_fract_y
_atom_site_fract_z
La1 La 0.000 0.000 0.000
Pd1 Pd 0.000 0.500 0.500
Au1 Au 0.500 0.500 0.500
O1 O 0.500 0.500 0.000
```

Below is a relaxed Ca2TlOs crystal, with properties calculated at the PBE level.

Results
Energy above the lowest structure with this stoichiometry = 0.1451 eV per atom
E_form = 0.37 eV per atom
DFT total energy = -4.03 eV per atom

The structure in CIF format:
```
data_Ca2TlOs
_cell_length_a 7.119
_cell_length_b 7.119
_cell_length_c 7.119
_cell_angle_alpha 90.00
_cell_angle_beta 90.00
_cell_angle_gamma 90.00
_space_group_name_H-M_alt 'F -4 3 m'
_space_group_IT_number 216
_space_group_name_Hall 'F -4 2 3'
loop_
_atom_site_label
_atom_site_type_symbol
_atom_site_fract_x
_atom_site_fract_y
_atom_site_fract_z
Ca1 Ca 0.000 0.000 0.000
Ca2 Ca 0.250 0.250 0.250
Tl1 Tl 0.250 0.250 0.750
Os1 Os 0.000 0.000 0.500
```

- Among the records above, which one has the lowest DFT total energy?
  LaPd2AuO